Here is PaNiRu after structural relaxation from Alexandria. Energies are from PBE.

Cell lengths 3.577, 4.187, 4.187 Å; angles 120.00, 90.00, 90.00 degrees
Fractional coordinates of all 3 atoms:
Ru (0.167, 0.000, 0.000)
Pa (0.667, 0.333, 0.667)
Ni (0.166, 0.667, 0.333)

Results
* DFT formation energy: -0.22 eV/atom
* E above lowest polymorph: 0.2363 eV/atom